1.
Here is a relaxed CuReNi2 crystal from Alexandria. Energies are from PBE.

a b c (Å): 2.6239 4.3125 4.3924
angles (deg): 90.00 90.00 90.00
Atoms (fractional coordinates):
Cu (0.0000, 0.0000, 0.0000)
Re (0.5000, 0.0000, 0.5000)
Ni (0.0000, 0.5000, 0.5000)
Ni (0.5000, 0.5000, 0.0000)

Computed properties:
ΔH_f (0 K) in eV/atom: 0.31
Energy relative to the lowest polymorph listed for this composition in meV/atom: 318.3


2.
Here is a relaxed HfZr2Hg2 crystal from Alexandria. Energies are from PBE.

a b c (Å): 7.9258 7.9258 3.5921
angles (deg): 90.00 90.00 90.00
Atoms (fractional coordinates):
Hf (0.0000, 0.0000, 0.0000)
Hf (0.5000, 0.5000, 0.0000)
Zr (0.1743, 0.3257, 0.5000)
Zr (0.3257, 0.8257, 0.5000)
Zr (0.6743, 0.1743, 0.5000)
Zr (0.8257, 0.6743, 0.5000)
Hg (0.1285, 0.6285, 0.0000)
Hg (0.3715, 0.1285, 0.0000)
Hg (0.6285, 0.8715, 0.0000)
Hg (0.8715, 0.3715, 0.0000)

Computed properties:
ΔH_f (0 K) in eV/atom: 0.02
Energy relative to the lowest polymorph listed for this composition in meV/atom: 88.5